1.
A plane-wave DFT calculation with PBE was carried out for crystalline PmMgGaPt at its relaxed geometry.

a = 4.883 Å, b = 4.883 Å, c = 4.883 Å
α = 60.00°, β = 60.00°, γ = 60.00°
Fractional positions:
Mg 0.500 0.500 0.500
Ga 0.250 0.250 0.250
Pt 0.750 0.750 0.750
Pm 0.000 0.000 0.000

- space-group type = F-43m
- formation enthalpy at 0 K (eV per atom) = -0.72



2.
A plane-wave DFT calculation with PBE was carried out for crystalline SrMgBi2O8 at its relaxed geometry.

a = 5.608 Å, b = 5.608 Å, c = 6.426 Å
α = 90.00°, β = 90.00°, γ = 120.00°
Each line ends with the local moment (μB).
Fractional positions:
Sr 0.000 0.000 0.500  -0.01
Mg 0.000 0.000 0.000  0.00
Bi 0.667 0.333 0.075  -0.03
Bi 0.333 0.667 0.925  -0.03
O 0.950 0.656 0.844  0.07
O 0.344 0.294 0.844  0.07
O 0.706 0.050 0.844  0.07
O 0.050 0.344 0.156  0.07
O 0.656 0.706 0.156  0.07
O 0.294 0.950 0.156  0.07
O 0.667 0.333 0.409  0.64
O 0.333 0.667 0.591  0.64

- space-group type = P-3
- energy relative to the elements, uncorrected (meV/atom) = -1071



Which total energy belongs to each record? In order, -4.570, -5.297 eV/atom.